# 1
First-principles (PBE with a Hubbard U) data for a geometry-optimized NaCu2MoO4 structure, as listed in the Alexandria database.

a b c (Å): 5.200 5.200 7.697
angles (deg): 90.00 90.00 90.00
Atoms (fractional coordinates):
Na: 0.000 0.000 0.000
Na: 0.500 0.500 0.500
Cu: 0.000 0.500 0.250
Cu: 0.000 0.500 0.750
Cu: 0.500 0.000 0.250
Cu: 0.500 0.000 0.750
Mo: 0.000 0.000 0.500
Mo: 0.500 0.500 0.000
O: 0.218 0.218 0.641
O: 0.218 0.782 0.359
O: 0.282 0.282 0.141
O: 0.282 0.718 0.859
O: 0.718 0.282 0.859
O: 0.718 0.718 0.141
O: 0.782 0.218 0.359
O: 0.782 0.782 0.641

Calculated values
E_tot = -0.413 Ry per atom

=====

# 2
First-principles (PBE with a Hubbard U) data for a geometry-optimized NaCuMoO2 structure, as listed in the Alexandria database.

a b c (Å): 4.164 4.164 4.840
angles (deg): 90.00 90.00 90.00
Atoms (fractional coordinates):
Na: 0.000 0.000 0.000
Cu: 0.500 0.500 0.500
Mo: 0.000 0.000 0.500
O: 0.000 0.500 0.000
O: 0.500 0.000 0.000

Calculated values
E_tot = -0.246 Ry per atom

=====

# 3
First-principles (PBE with a Hubbard U) data for a geometry-optimized NaCuMo2O8 structure, as listed in the Alexandria database.

a b c (Å): 5.742 5.742 6.372
angles (deg): 90.00 90.00 120.00
Atoms (fractional coordinates):
Na: 0.000 0.000 0.000
Cu: 0.000 0.000 0.500
Mo: 0.333 0.667 0.233
Mo: 0.667 0.333 0.767
O: 0.158 0.316 0.311
O: 0.158 0.842 0.311
O: 0.316 0.158 0.689
O: 0.333 0.667 0.959
O: 0.667 0.333 0.041
O: 0.684 0.842 0.311
O: 0.842 0.158 0.689
O: 0.842 0.684 0.689

Calculated values
E_tot = -0.459 Ry per atom